# 1
# MgPdPtO4, relaxed, DFT PBE-GGA
# Energy relative to the elements, uncorrected: -0.888 eV/atom
# E_tot: -5.55 eV/atom
data_MgPdPtO4
_symmetry_space_group_name_H-M 'I m m a'
_symmetry_Int_Tables_number 74
_symmetry_space_group_name_Hall '-I 2b 2'
_cell_length_a 6.148
_cell_length_b 6.379
_cell_length_c 9.055
_cell_angle_alpha 90.00
_cell_angle_beta 90.00
_cell_angle_gamma 90.00
loop_
_atom_site_label
_atom_site_type_symbol
_atom_site_fract_x
_atom_site_fract_y
_atom_site_fract_z
Mg1 Mg 0.000 0.250 0.202
Pd1 Pd 0.000 0.000 0.500
Pt1 Pt 0.250 0.250 0.750
O1 O 0.000 0.053 0.726
O2 O 0.203 0.250 0.421

***

# 2
# PuMgPdO6, relaxed, DFT PBE-GGA
# Energy relative to the elements, uncorrected: -1.790 eV/atom
# E_tot: -7.44 eV/atom
data_PuMgPdO6
_symmetry_space_group_name_H-M 'P -3 1 c'
_symmetry_Int_Tables_number 163
_symmetry_space_group_name_Hall '-P 3 2c'
_cell_length_a 5.2288
_cell_length_b 5.2288
_cell_length_c 9.3249
_cell_angle_alpha 90.00
_cell_angle_beta 90.00
_cell_angle_gamma 120.00
loop_
_atom_site_label
_atom_site_type_symbol
_atom_site_fract_x
_atom_site_fract_y
_atom_site_fract_z
Pu1 Pu 0.3333 0.6667 0.2500
Mg1 Mg 0.0000 0.0000 0.0000
Pd1 Pd 0.3333 0.6667 0.7500
O1 O 0.9998 0.3397 0.1299

***

# 3
# MgPdRhO4, relaxed, DFT PBE-GGA
# Energy relative to the elements, uncorrected: -1.081 eV/atom
# E_tot: -5.93 eV/atom
data_MgPdRhO4
_symmetry_space_group_name_H-M 'I m m a'
_symmetry_Int_Tables_number 74
_symmetry_space_group_name_Hall '-I 2b 2'
_cell_length_a 6.051
_cell_length_b 6.151
_cell_length_c 9.008
_cell_angle_alpha 90.00
_cell_angle_beta 90.00
_cell_angle_gamma 90.00
loop_
_atom_site_label
_atom_site_type_symbol
_atom_site_fract_x
_atom_site_fract_y
_atom_site_fract_z
Mg1 Mg 0.000 0.250 0.138
Pd1 Pd 0.250 0.250 0.750
Rh1 Rh 0.000 0.000 0.500
O1 O 0.000 0.020 0.728
O2 O 0.227 0.250 0.489

***

- Look up the energy relative to the elements, uncorrected of the second one.
  -1.790 eV/atom